Entry from Alexandria: crystalline BaCoHO2 at its relaxed geometry (PBE+U).

Output
- SG = P4/mmm, No. 123
- ρ (g cm⁻³) = 5.66
- volume (A^3/atom) = 13.5
- VASP energy (eV for the cell shown) = -19.30
- M_tot (μB/f.u.) = 2.86

The structure in POSCAR format:
```
BaCoHO2
1.0
4.3906 0.0000 0.0000
0.0000 4.3906 0.0000
0.0000 0.0000 3.4919
Ba Co H O
1 1 1 2
Direct
0.0000 0.0000 0.0000
0.5000 0.5000 0.0000
0.0000 0.0000 0.5000
0.0000 0.5000 0.5000
0.5000 0.0000 0.5000
```